DFT (PBE) results for crystalline HoSc2Tl3 at its relaxed geometry.

Structure (POSCAR):
```
HoSc2Tl3
1.0
-1.552 -2.631 -1.834
2.959 -0.390 -1.945
4.044 -7.763 7.712
Sc Tl Ho
2 3 1
direct
0.500 0.500 0.161
0.500 0.500 0.839
0.000 0.000 0.000
0.000 0.000 0.322
0.000 0.000 0.678
0.500 0.500 0.500
```

Results
Fermi-level density of states: 5.5 states/eV/cell
ΔH_f (0 K): -277 meV/atom
calculated total energy: -4.333 eV per atom

DFT (PBE) results for crystalline Ho5Sc5Tl at its relaxed geometry.

Structure (POSCAR):
```
Ho5Sc5Tl
1.0
-5.057 -2.057 -1.996
1.853 -1.489 5.304
-5.138 8.561 4.197
Sc Ho Tl
5 5 1
direct
0.334 0.167 0.500
0.833 0.167 0.500
0.000 0.000 0.727
0.833 0.666 0.500
0.000 0.000 0.273
0.000 0.000 0.000
0.667 0.333 0.818
0.667 0.333 0.182
0.333 0.667 0.307
0.333 0.667 0.693
0.333 0.667 0.000
```

Results
Fermi-level density of states: 17.8 states/eV/cell
ΔH_f (0 K): 224 meV/atom
calculated total energy: -4.950 eV per atom

DFT (PBE) results for crystalline HoSc2Tl4 at its relaxed geometry.

Structure (POSCAR):
```
HoSc2Tl4
1.0
5.941 0.102 -2.028
-2.932 5.089 -2.221
0.059 -0.102 6.278
Sc Tl Ho
2 4 1
direct
0.500 0.000 0.500
0.500 0.500 0.000
0.000 0.500 0.000
0.500 0.500 0.500
0.000 0.000 0.500
0.500 0.000 0.000
0.000 0.000 0.000
```

Results
Fermi-level density of states: 6.5 states/eV/cell
ΔH_f (0 K): -182 meV/atom
calculated total energy: -3.997 eV per atom

DFT (PBE) results for crystalline Ho4Sc3Tl4 at its relaxed geometry.

Structure (POSCAR):
```
Ho4Sc3Tl4
1.0
-3.455 0.047 0.116
0.215 -4.361 8.164
1.878 10.340 0.224
Tl Sc Ho
4 3 4
direct
0.724 0.224 0.448
0.500 0.781 0.000
0.276 0.776 0.552
0.500 0.219 0.000
0.907 0.907 0.815
0.093 0.093 0.185
0.000 0.500 0.000
0.660 0.842 0.319
0.340 0.522 0.681
0.340 0.158 0.681
0.660 0.478 0.319
```

Results
Fermi-level density of states: 12.1 states/eV/cell
ΔH_f (0 K): -175 meV/atom
calculated total energy: -4.427 eV per atom